A plane-wave DFT calculation with PBE was carried out for a relaxed Nb4CdNiC2 crystal.

Properties
Total magnetic moment (μB/f.u.): 0.000
Total DFT energy (no corrections) (eV/atom): -8.45
Symmetry: P-6m2 (187)

a b c (Å): 3.1451 3.1451 13.8451
angles (deg): 90.00 90.00 120.00
Positions (direct):
Nb: 0.0000 0.0000 0.1441
Nb: 0.0000 0.0000 0.8559
Nb: 0.6667 0.3333 0.3210
Nb: 0.6667 0.3333 0.6790
Cd: 0.0000 0.0000 0.5000
Ni: 0.6667 0.3333 0.0000
C: 0.3333 0.6667 0.2343
C: 0.3333 0.6667 0.7657